[1]
An optimized crystal structure of TeMo. Source: Alexandria via LeMat-Bulk, functional GGA-PBE.

Values from the calculation:
The calculation puts the total moment at 1.30 μB per formula unit. For the energy relative to the lowest polymorph listed for this composition, the calculation gives 892 meV per atom. As for the uncorrected formation energy: 1.75 eV per formula unit. The total energy comes out at -6.109 eV per atom.

```
TeMo
1.0
0.000 3.061 3.061
3.061 0.000 3.061
3.061 3.061 0.000
Te Mo
1 1
direct
0.000 0.000 0.000 Te
0.250 0.250 0.250 Mo
```


[2]
An optimized crystal structure of TeMo. Source: Alexandria via LeMat-Bulk, functional GGA-PBE.

Values from the calculation:
The calculation puts the total moment at 0.00 μB per formula unit. For the energy relative to the lowest polymorph listed for this composition, the calculation gives 300 meV per atom. As for the uncorrected formation energy: 0.57 eV per formula unit. The total energy comes out at -6.701 eV per atom.

```
TeMo
1.0
2.151 1.242 6.514
-2.151 1.242 6.514
0.000 -2.483 6.514
Te Mo
2 2
direct
0.089 0.089 0.089 Te
0.911 0.911 0.911 Te
0.339 0.339 0.339 Mo
0.661 0.661 0.661 Mo
```


[3]
An optimized crystal structure of TeMo. Source: Alexandria via LeMat-Bulk, functional GGA-PBE.

Values from the calculation:
The calculation puts the total moment at 0.00 μB per formula unit. For the energy relative to the lowest polymorph listed for this composition, the calculation gives 0 meV per atom. As for the uncorrected formation energy: -0.03 eV per formula unit. The total energy comes out at -7.001 eV per atom.

```
TeMo
1.0
3.544 0.000 0.000
0.000 4.250 0.000
0.000 0.000 7.016
Te Mo
2 2
direct
0.250 0.250 0.224 Te
0.750 0.750 0.776 Te
0.250 0.750 0.485 Mo
0.750 0.250 0.515 Mo
```


Q: Which formula does entry 2 have?
A: TeMo